No. 1
A plane-wave DFT calculation with PBE-GGA was carried out for a relaxed structure of CrH2Rh2.

```
data_CrH2Rh2
_chemical_formula_sum 'Cr2 H4 Rh4'
_space_group_name_H-M_alt 'I 4/m m m'
_space_group_IT_number 139
_space_group_name_Hall '-I 4 2'
_cell_length_a 2.7724
_cell_length_b 2.7724
_cell_length_c 11.9918
_cell_angle_alpha 90.00
_cell_angle_beta 90.00
_cell_angle_gamma 90.00
loop_
_atom_site_label
_atom_site_type_symbol
_atom_site_fract_x
_atom_site_fract_y
_atom_site_fract_z
Cr1 Cr 0.0000 0.0000 0.0000
H1 H 0.0000 0.5000 0.2500
Rh1 Rh 0.0000 0.0000 0.3565
```

Results
V: 92 Å³ per cell
final energy: -0.4551 Ry per atom
magnetization: 0.00 Bohr magnetons per cell
distance to the lowest polymorph of the same formula: 34 meV/atom

No. 2
A plane-wave DFT calculation with PBE-GGA was carried out for a relaxed structure of CrH3Rh3.

```
data_CrH3Rh3
_chemical_formula_sum 'Cr6 H18 Rh18'
_space_group_name_H-M_alt 'R -3'
_space_group_IT_number 148
_space_group_name_Hall '-R 3'
_cell_length_a 6.2101
_cell_length_b 6.2101
_cell_length_c 11.6548
_cell_angle_alpha 90.00
_cell_angle_beta 90.00
_cell_angle_gamma 120.00
loop_
_atom_site_label
_atom_site_type_symbol
_atom_site_fract_x
_atom_site_fract_y
_atom_site_fract_z
Cr1 Cr 0.0000 0.0000 0.2168
H1 H 0.0689 0.8177 0.9208
Rh1 Rh 0.0512 0.4400 0.2602
```

Results
V: 389 Å³ per cell
final energy: -0.4343 Ry per atom
magnetization: 11.02 Bohr magnetons per cell

No. 3
A plane-wave DFT calculation with PBE-GGA was carried out for a relaxed structure of CrH2Rh.

```
data_CrH2Rh
_chemical_formula_sum 'Cr4 H8 Rh4'
_space_group_name_H-M_alt 'F m -3 m'
_space_group_IT_number 225
_space_group_name_Hall '-F 4 2 3'
_cell_length_a 5.0862
_cell_length_b 5.0862
_cell_length_c 5.0862
_cell_angle_alpha 90.00
_cell_angle_beta 90.00
_cell_angle_gamma 90.00
loop_
_atom_site_label
_atom_site_type_symbol
_atom_site_fract_x
_atom_site_fract_y
_atom_site_fract_z
Cr1 Cr 0.0000 0.0000 0.0000
H1 H 0.2500 0.2500 0.2500
Rh1 Rh 0.0000 0.0000 0.5000
```

Results
V: 132 Å³ per cell
final energy: -0.3878 Ry per atom
magnetization: 0.00 Bohr magnetons per cell
distance to the lowest polymorph of the same formula: 680 meV/atom

No. 4
A plane-wave DFT calculation with PBE-GGA was carried out for a relaxed structure of CrH2Rh.

```
data_CrH2Rh
_chemical_formula_sum 'Cr3 H6 Rh3'
_space_group_name_H-M_alt 'R -3 m'
_space_group_IT_number 166
_space_group_name_Hall '-R 3 2"'
_cell_length_a 2.8047
_cell_length_b 2.8047
_cell_length_c 14.4968
_cell_angle_alpha 90.00
_cell_angle_beta 90.00
_cell_angle_gamma 120.00
loop_
_atom_site_label
_atom_site_type_symbol
_atom_site_fract_x
_atom_site_fract_y
_atom_site_fract_z
Cr1 Cr 0.0000 0.0000 0.0000
H1 H 0.0000 0.0000 0.3808
Rh1 Rh 0.0000 0.0000 0.5000
```

Results
V: 99 Å³ per cell
final energy: -0.4298 Ry per atom
magnetization: 6.15 Bohr magnetons per cell
distance to the lowest polymorph of the same formula: 110 meV/atom

No. 5
A plane-wave DFT calculation with PBE-GGA was carried out for a relaxed structure of CrH2Rh.

```
data_CrH2Rh
_chemical_formula_sum 'Cr4 H8 Rh4'
_space_group_name_H-M_alt 'I -4 2 d'
_space_group_IT_number 122
_space_group_name_Hall 'I -4 2bw'
_cell_length_a 4.0525
_cell_length_b 4.0525
_cell_length_c 7.9504
_cell_angle_alpha 90.00
_cell_angle_beta 90.00
_cell_angle_gamma 90.00
loop_
_atom_site_label
_atom_site_type_symbol
_atom_site_fract_x
_atom_site_fract_y
_atom_site_fract_z
Cr1 Cr 0.0000 0.0000 0.0000
H1 H 0.2382 0.2500 0.1250
Rh1 Rh 0.0000 0.0000 0.5000
```

Results
V: 131 Å³ per cell
final energy: -0.4271 Ry per atom
magnetization: 0.00 Bohr magnetons per cell
distance to the lowest polymorph of the same formula: 146 meV/atom

No. 6
A plane-wave DFT calculation with PBE-GGA was carried out for a relaxed structure of Cr3H2Rh3.

```
data_Cr3H2Rh3
_chemical_formula_sum 'Cr3 H2 Rh3'
_space_group_name_H-M_alt 'P -1'
_space_group_IT_number 2
_space_group_name_Hall '-P 1'
_cell_length_a 2.7290
_cell_length_b 4.6582
_cell_length_c 6.7545
_cell_angle_alpha 82.99
_cell_angle_beta 78.37
_cell_angle_gamma 90.00
loop_
_atom_site_label
_atom_site_type_symbol
_atom_site_fract_x
_atom_site_fract_y
_atom_site_fract_z
Cr1 Cr 0.0000 0.0000 0.0000
Cr2 Cr 0.3374 0.1110 0.3239
H1 H 0.2432 0.7828 0.5148
Rh1 Rh 0.1617 0.3851 0.6762
Rh2 Rh 0.5000 0.5000 0.0000
```

Results
V: 83 Å³ per cell
final energy: -0.5298 Ry per atom
magnetization: 0.67 Bohr magnetons per cell

No. 7
A plane-wave DFT calculation with PBE-GGA was carried out for a relaxed structure of Cr3HRh.

```
data_Cr3HRh
_chemical_formula_sum 'Cr3 H1 Rh1'
_space_group_name_H-M_alt 'P m -3 m'
_space_group_IT_number 221
_space_group_name_Hall '-P 4 2 3'
_cell_length_a 3.7148
_cell_length_b 3.7148
_cell_length_c 3.7148
_cell_angle_alpha 90.00
_cell_angle_beta 90.00
_cell_angle_gamma 90.00
loop_
_atom_site_label
_atom_site_type_symbol
_atom_site_fract_x
_atom_site_fract_y
_atom_site_fract_z
Cr1 Cr 0.0000 0.0000 0.5000
H1 H 0.0000 0.0000 0.0000
Rh1 Rh 0.5000 0.5000 0.5000
```

Results
V: 51 Å³ per cell
final energy: -0.5781 Ry per atom
magnetization: 0.00 Bohr magnetons per cell
distance to the lowest polymorph of the same formula: 0 meV/atom

No. 8
A plane-wave DFT calculation with PBE-GGA was carried out for a relaxed structure of Cr2H3Rh3.

```
data_Cr2H3Rh3
_chemical_formula_sum 'Cr8 H12 Rh12'
_space_group_name_H-M_alt 'C 1 m 1'
_space_group_IT_number 8
_space_group_name_Hall 'C -2y'
_cell_length_a 9.2257
_cell_length_b 2.7688
_cell_length_c 12.0389
_cell_angle_alpha 90.00
_cell_angle_beta 90.84
_cell_angle_gamma 90.00
loop_
_atom_site_label
_atom_site_type_symbol
_atom_site_fract_x
_atom_site_fract_y
_atom_site_fract_z
Cr1 Cr 0.0000 0.0000 0.0000
Cr2 Cr 0.0033 0.0000 0.3853
Cr3 Cr 0.0252 0.5000 0.5646
Cr4 Cr 0.2586 0.0000 0.9002
H1 H 0.1275 0.5000 0.6931
H2 H 0.3676 0.0000 0.0365
H3 H 0.3824 0.5000 0.8621
H4 H 0.3859 0.5000 0.2612
H5 H 0.4151 0.0000 0.4449
H6 H 0.4262 0.0000 0.6960
Rh1 Rh 0.0433 0.5000 0.8219
Rh2 Rh 0.2025 0.5000 0.3059
Rh3 Rh 0.2114 0.5000 0.0771
Rh4 Rh 0.2370 0.0000 0.4996
Rh5 Rh 0.3099 0.5000 0.6914
Rh6 Rh 0.4552 0.0000 0.1859
```

Results
V: 307 Å³ per cell
final energy: -0.4682 Ry per atom
magnetization: 1.34 Bohr magnetons per cell

No. 9
A plane-wave DFT calculation with PBE-GGA was carried out for a relaxed structure of CrH2Rh.

```
data_CrH2Rh
_chemical_formula_sum 'Cr3 H6 Rh3'
_space_group_name_H-M_alt 'R 3 m'
_space_group_IT_number 160
_space_group_name_Hall 'R 3 -2"'
_cell_length_a 2.7289
_cell_length_b 2.7289
_cell_length_c 14.4500
_cell_angle_alpha 90.00
_cell_angle_beta 90.00
_cell_angle_gamma 120.00
loop_
_atom_site_label
_atom_site_type_symbol
_atom_site_fract_x
_atom_site_fract_y
_atom_site_fract_z
Cr1 Cr 0.0000 0.0000 0.0000
H1 H 0.0000 0.0000 0.2617
H2 H 0.0000 0.0000 0.4055
Rh1 Rh 0.0000 0.0000 0.8232
```

Results
V: 93 Å³ per cell
final energy: -0.4259 Ry per atom
magnetization: 0.00 Bohr magnetons per cell
distance to the lowest polymorph of the same formula: 163 meV/atom

No. 10
A plane-wave DFT calculation with PBE-GGA was carried out for a relaxed structure of Cr2HRuRh.

```
data_Cr2HRuRh
_chemical_formula_sum 'Cr2 H1 Ru1 Rh1'
_space_group_name_H-M_alt 'P 4/m m m'
_space_group_IT_number 123
_space_group_name_Hall '-P 4 2'
_cell_length_a 3.7966
_cell_length_b 3.7966
_cell_length_c 3.7273
_cell_angle_alpha 90.00
_cell_angle_beta 90.00
_cell_angle_gamma 90.00
loop_
_atom_site_label
_atom_site_type_symbol
_atom_site_fract_x
_atom_site_fract_y
_atom_site_fract_z
Cr1 Cr 0.0000 0.5000 0.0000
H1 H 0.0000 0.0000 0.0000
Ru1 Ru 0.0000 0.0000 0.5000
Rh1 Rh 0.5000 0.5000 0.5000
```

Results
V: 54 Å³ per cell
final energy: -0.5754 Ry per atom
magnetization: 0.00 Bohr magnetons per cell
distance to the lowest polymorph of the same formula: 0 meV/atom

No. 11
A plane-wave DFT calculation with PBE-GGA was carried out for a relaxed structure of CrHRuRh2.

```
data_CrHRuRh2
_chemical_formula_sum 'Cr1 H1 Ru1 Rh2'
_space_group_name_H-M_alt 'P 4/m m m'
_space_group_IT_number 123
_space_group_name_Hall '-P 4 2'
_cell_length_a 3.8112
_cell_length_b 3.8112
_cell_length_c 3.8998
_cell_angle_alpha 90.00
_cell_angle_beta 90.00
_cell_angle_gamma 90.00
loop_
_atom_site_label
_atom_site_type_symbol
_atom_site_fract_x
_atom_site_fract_y
_atom_site_fract_z
Cr1 Cr 0.0000 0.0000 0.0000
H1 H 0.5000 0.5000 0.5000
Ru1 Ru 0.5000 0.5000 0.0000
Rh1 Rh 0.0000 0.5000 0.5000
```

Results
V: 57 Å³ per cell
final energy: -0.5410 Ry per atom
magnetization: 0.00 Bohr magnetons per cell

No. 12
A plane-wave DFT calculation with PBE-GGA was carried out for a relaxed structure of CrHRuRh2.

```
data_CrHRuRh2
_chemical_formula_sum 'Cr1 H1 Ru1 Rh2'
_space_group_name_H-M_alt 'P 4/m m m'
_space_group_IT_number 123
_space_group_name_Hall '-P 4 2'
_cell_length_a 3.7953
_cell_length_b 3.7953
_cell_length_c 3.9079
_cell_angle_alpha 90.00
_cell_angle_beta 90.00
_cell_angle_gamma 90.00
loop_
_atom_site_label
_atom_site_type_symbol
_atom_site_fract_x
_atom_site_fract_y
_atom_site_fract_z
Cr1 Cr 0.0000 0.0000 0.0000
H1 H 0.0000 0.0000 0.5000
Ru1 Ru 0.5000 0.5000 0.0000
Rh1 Rh 0.0000 0.5000 0.5000
```

Results
V: 56 Å³ per cell
final energy: -0.5411 Ry per atom
magnetization: 0.00 Bohr magnetons per cell

No. 13
A plane-wave DFT calculation with PBE-GGA was carried out for a relaxed structure of Cr2HRuRh.

```
data_Cr2HRuRh
_chemical_formula_sum 'Cr2 H1 Ru1 Rh1'
_space_group_name_H-M_alt 'P 4/m m m'
_space_group_IT_number 123
_space_group_name_Hall '-P 4 2'
_cell_length_a 3.8029
_cell_length_b 3.8029
_cell_length_c 3.7157
_cell_angle_alpha 90.00
_cell_angle_beta 90.00
_cell_angle_gamma 90.00
loop_
_atom_site_label
_atom_site_type_symbol
_atom_site_fract_x
_atom_site_fract_y
_atom_site_fract_z
Cr1 Cr 0.0000 0.5000 0.0000
H1 H 0.0000 0.0000 0.0000
Ru1 Ru 0.5000 0.5000 0.5000
Rh1 Rh 0.0000 0.0000 0.5000
```

Results
V: 54 Å³ per cell
final energy: -0.5745 Ry per atom
magnetization: 0.32 Bohr magnetons per cell
distance to the lowest polymorph of the same formula: 12 meV/atom

No. 14
A plane-wave DFT calculation with PBE-GGA was carried out for a relaxed structure of CrSbHRh2.

```
data_CrSbHRh2
_chemical_formula_sum 'Cr1 Sb1 H1 Rh2'
_space_group_name_H-M_alt 'P 4/m m m'
_space_group_IT_number 123
_space_group_name_Hall '-P 4 2'
_cell_length_a 4.0350
_cell_length_b 4.0350
_cell_length_c 3.9577
_cell_angle_alpha 90.00
_cell_angle_beta 90.00
_cell_angle_gamma 90.00
loop_
_atom_site_label
_atom_site_type_symbol
_atom_site_fract_x
_atom_site_fract_y
_atom_site_fract_z
Cr1 Cr 0.0000 0.0000 0.0000
Sb1 Sb 0.5000 0.5000 0.0000
H1 H 0.0000 0.0000 0.5000
Rh1 Rh 0.0000 0.5000 0.5000
```

Results
V: 64 Å³ per cell
final energy: -0.4807 Ry per atom
magnetization: 3.19 Bohr magnetons per cell

No. 15
A plane-wave DFT calculation with PBE-GGA was carried out for a relaxed structure of Sc2CrHRh.

```
data_Sc2CrHRh
_chemical_formula_sum 'Sc2 Cr1 H1 Rh1'
_space_group_name_H-M_alt 'P 4/m m m'
_space_group_IT_number 123
_space_group_name_Hall '-P 4 2'
_cell_length_a 4.5510
_cell_length_b 4.5510
_cell_length_c 3.4356
_cell_angle_alpha 90.00
_cell_angle_beta 90.00
_cell_angle_gamma 90.00
loop_
_atom_site_label
_atom_site_type_symbol
_atom_site_fract_x
_atom_site_fract_y
_atom_site_fract_z
Sc1 Sc 0.0000 0.5000 0.0000
Cr1 Cr 0.0000 0.0000 0.5000
H1 H 0.0000 0.0000 0.0000
Rh1 Rh 0.5000 0.5000 0.5000
```

Results
V: 71 Å³ per cell
final energy: -0.5144 Ry per atom
magnetization: 2.46 Bohr magnetons per cell

No. 16
A plane-wave DFT calculation with PBE-GGA was carried out for a relaxed structure of ScCrHRh2.

```
data_ScCrHRh2
_chemical_formula_sum 'Sc1 Cr1 H1 Rh2'
_space_group_name_H-M_alt 'P 4/m m m'
_space_group_IT_number 123
_space_group_name_Hall '-P 4 2'
_cell_length_a 4.1229
_cell_length_b 4.1229
_cell_length_c 3.7481
_cell_angle_alpha 90.00
_cell_angle_beta 90.00
_cell_angle_gamma 90.00
loop_
_atom_site_label
_atom_site_type_symbol
_atom_site_fract_x
_atom_site_fract_y
_atom_site_fract_z
Sc1 Sc 0.0000 0.0000 0.0000
Cr1 Cr 0.5000 0.5000 0.0000
H1 H 0.5000 0.5000 0.5000
Rh1 Rh 0.0000 0.5000 0.5000
```

Results
V: 64 Å³ per cell
final energy: -0.5291 Ry per atom
magnetization: 3.76 Bohr magnetons per cell

No. 17
A plane-wave DFT calculation with PBE-GGA was carried out for a relaxed structure of CrSiHRh2.

```
data_CrSiHRh2
_chemical_formula_sum 'Cr1 Si1 H1 Rh2'
_space_group_name_H-M_alt 'P 4/m m m'
_space_group_IT_number 123
_space_group_name_Hall '-P 4 2'
_cell_length_a 3.9046
_cell_length_b 3.9046
_cell_length_c 3.7109
_cell_angle_alpha 90.00
_cell_angle_beta 90.00
_cell_angle_gamma 90.00
loop_
_atom_site_label
_atom_site_type_symbol
_atom_site_fract_x
_atom_site_fract_y
_atom_site_fract_z
Cr1 Cr 0.0000 0.0000 0.0000
Si1 Si 0.5000 0.5000 0.0000
H1 H 0.0000 0.0000 0.5000
Rh1 Rh 0.0000 0.5000 0.5000
```

Results
V: 57 Å³ per cell
final energy: -0.5087 Ry per atom
magnetization: 3.29 Bohr magnetons per cell

No. 18
A plane-wave DFT calculation with PBE-GGA was carried out for a relaxed structure of Cr2SnHRh.

```
data_Cr2SnHRh
_chemical_formula_sum 'Cr2 Sn1 H1 Rh1'
_space_group_name_H-M_alt 'P 4/m m m'
_space_group_IT_number 123
_space_group_name_Hall '-P 4 2'
_cell_length_a 4.0360
_cell_length_b 4.0360
_cell_length_c 3.9622
_cell_angle_alpha 90.00
_cell_angle_beta 90.00
_cell_angle_gamma 90.00
loop_
_atom_site_label
_atom_site_type_symbol
_atom_site_fract_x
_atom_site_fract_y
_atom_site_fract_z
Cr1 Cr 0.0000 0.5000 0.0000
Sn1 Sn 0.0000 0.0000 0.5000
H1 H 0.5000 0.5000 0.0000
Rh1 Rh 0.5000 0.5000 0.5000
```

Results
V: 65 Å³ per cell
final energy: -0.4985 Ry per atom
magnetization: 6.09 Bohr magnetons per cell

No. 19
A plane-wave DFT calculation with PBE-GGA was carried out for a relaxed structure of TaCr2HRh.

```
data_TaCr2HRh
_chemical_formula_sum 'Ta1 Cr2 H1 Rh1'
_space_group_name_H-M_alt 'P 4/m m m'
_space_group_IT_number 123
_space_group_name_Hall '-P 4 2'
_cell_length_a 3.7579
_cell_length_b 3.7579
_cell_length_c 4.1330
_cell_angle_alpha 90.00
_cell_angle_beta 90.00
_cell_angle_gamma 90.00
loop_
_atom_site_label
_atom_site_type_symbol
_atom_site_fract_x
_atom_site_fract_y
_atom_site_fract_z
Ta1 Ta 0.0000 0.0000 0.0000
Cr1 Cr 0.0000 0.5000 0.5000
H1 H 0.0000 0.0000 0.5000
Rh1 Rh 0.5000 0.5000 0.0000
```

Results
V: 58 Å³ per cell
final energy: -0.6159 Ry per atom
magnetization: 1.59 Bohr magnetons per cell
distance to the lowest polymorph of the same formula: 0 meV/atom

No. 20
A plane-wave DFT calculation with PBE-GGA was carried out for a relaxed structure of TaCrHRh2.

```
data_TaCrHRh2
_chemical_formula_sum 'Ta1 Cr1 H1 Rh2'
_space_group_name_H-M_alt 'P 4/m m m'
_space_group_IT_number 123
_space_group_name_Hall '-P 4 2'
_cell_length_a 3.9090
_cell_length_b 3.9090
_cell_length_c 3.9379
_cell_angle_alpha 90.00
_cell_angle_beta 90.00
_cell_angle_gamma 90.00
loop_
_atom_site_label
_atom_site_type_symbol
_atom_site_fract_x
_atom_site_fract_y
_atom_site_fract_z
Ta1 Ta 0.0000 0.0000 0.0000
Cr1 Cr 0.5000 0.5000 0.0000
H1 H 0.5000 0.5000 0.5000
Rh1 Rh 0.0000 0.5000 0.5000
```

Results
V: 60 Å³ per cell
final energy: -0.6018 Ry per atom
magnetization: 1.60 Bohr magnetons per cell
distance to the lowest polymorph of the same formula: 0 meV/atom